Computed, not measured: a relaxed Zn3Hg crystal at the PBE level of DFT.

Cell lengths 5.1795, 5.1795, 5.1795 Å; angles 90.00, 90.00, 90.00 degrees
Positions (direct):
Zn 0.7500 0.5000 0.0000
Hg 0.0000 0.0000 0.0000
Zn 0.0000 0.2500 0.5000
Zn 0.0000 0.7500 0.5000
Zn 0.5000 0.0000 0.7500
Hg 0.5000 0.5000 0.5000
Zn 0.5000 0.0000 0.2500
Zn 0.2500 0.5000 0.0000

Summary:
The size of the total moment is 0.0 μB per cell. For the formation energy from the elements, the calculation gives 0.47 eV/f.u. As for the space-group type: Pm-3n, No. 223. The value obtained for the volume is 17.4 Å³/atom.

---

Computed, not measured: a relaxed Zn3Hg crystal at the PBE level of DFT.

Cell lengths 3.2365, 5.2301, 5.2301 Å; angles 64.14, 78.10, 101.90 degrees
Positions (direct):
Hg 0.0000 0.0000 0.0000
Zn 0.5000 0.5000 0.0000
Zn 0.5000 0.0000 0.5000
Zn 0.0000 0.5000 0.5000

Summary:
The size of the total moment is 0.0 μB per cell. For the formation energy from the elements, the calculation gives 0.65 eV/f.u. As for the space-group type: R-3m, No. 166. The value obtained for the volume is 18.4 Å³/atom.

---

Computed, not measured: a relaxed ZnHg crystal at the PBE level of DFT.

Cell lengths 4.1339, 5.7216, 7.1106 Å; angles 90.00, 90.00, 90.00 degrees
Positions (direct):
Hg 0.2500 0.3875 0.6690
Zn 0.7500 0.3601 0.9592
Zn 0.7500 0.1399 0.4592
Hg 0.2500 0.1125 0.1690
Hg 0.7500 0.6125 0.3310
Zn 0.2500 0.6399 0.0408
Hg 0.7500 0.8875 0.8310
Zn 0.2500 0.8601 0.5408

Summary:
The size of the total moment is 0.0 μB per cell. For the formation energy from the elements, the calculation gives 0.21 eV/f.u. As for the space-group type: Pnma, No. 62. The value obtained for the volume is 21.0 Å³/atom.

---

Computed, not measured: a relaxed ZnHg crystal at the PBE level of DFT.

Cell lengths 7.7584, 13.9820, 6.7383 Å; angles 90.00, 90.00, 90.00 degrees
Positions (direct):
Zn 0.5000 0.0944 0.5000
Hg 0.1813 0.5000 0.0000
Zn 0.7500 0.6556 0.7500
Hg 0.1813 0.0000 0.5000
Zn 0.2500 0.6556 0.2500
Zn 0.2500 0.8444 0.2500
Hg 0.6813 0.5000 0.5000
Hg 0.0687 0.2500 0.2500
Zn 0.5000 0.9056 0.5000
Hg 0.9313 0.2500 0.7500
Zn 0.5000 0.4056 0.0000
Hg 0.8187 0.5000 0.0000
Hg 0.3187 0.5000 0.5000
Zn 0.0000 0.5944 0.5000
Hg 0.4313 0.2500 0.2500
Zn 0.7500 0.8444 0.7500
Hg 0.9313 0.7500 0.2500
Zn 0.0000 0.0944 0.0000
Zn 0.2500 0.1556 0.7500
Zn 0.7500 0.3444 0.2500
Hg 0.6813 0.0000 0.0000
Zn 0.0000 0.9056 0.0000
Zn 0.5000 0.5944 0.0000
Zn 0.0000 0.4056 0.5000
Hg 0.5687 0.7500 0.2500
Zn 0.7500 0.1556 0.2500
Hg 0.5687 0.2500 0.7500
Zn 0.2500 0.3444 0.7500
Hg 0.0687 0.7500 0.7500
Hg 0.8187 0.0000 0.5000
Hg 0.4313 0.7500 0.7500
Hg 0.3187 0.0000 0.0000

Summary:
The size of the total moment is 0.0 μB per cell. For the formation energy from the elements, the calculation gives 0.26 eV/f.u. As for the space-group type: Fddd, No. 70. The value obtained for the volume is 22.8 Å³/atom.

---

Computed, not measured: a relaxed ZnHg crystal at the PBE level of DFT.

Cell lengths 6.8947, 6.8947, 6.9026 Å; angles 62.36, 62.36, 25.55 degrees
Positions (direct):
Zn 0.7053 0.7053 0.1396
Zn 0.6234 0.6234 0.5645
Hg 0.3798 0.3798 0.8083
Hg 0.3413 0.3413 0.3501
Hg 0.1006 0.1006 0.9187
Zn 0.0163 0.0163 0.3855

Summary:
The size of the total moment is 0.0 μB per cell. For the formation energy from the elements, the calculation gives 0.15 eV/f.u. As for the space-group type: Cm, No. 8. The value obtained for the volume is 20.7 Å³/atom.

---

Computed, not measured: a relaxed ZnHg2 crystal at the PBE level of DFT.

Cell lengths 6.2683, 6.2683, 6.2683 Å; angles 60.00, 60.00, 60.00 degrees
Positions (direct):
Hg 0.6250 0.6250 0.6250
Hg 0.6250 0.6250 0.1250
Hg 0.6250 0.1250 0.6250
Zn 0.0000 0.0000 0.0000
Zn 0.2500 0.2500 0.2500
Hg 0.1250 0.6250 0.6250

Summary:
The size of the total moment is 0.0 μB per cell. For the formation energy from the elements, the calculation gives 0.80 eV/f.u. As for the space-group type: Fd-3m, No. 227. The value obtained for the volume is 29.0 Å³/atom.

---

Computed, not measured: a relaxed Zn3Hg crystal at the PBE level of DFT.

Cell lengths 4.6587, 4.6587, 4.6587 Å; angles 60.00, 60.00, 60.00 degrees
Positions (direct):
Zn 0.7500 0.7500 0.7500
Hg 0.0000 0.0000 0.0000
Zn 0.2500 0.2500 0.2500
Zn 0.5000 0.5000 0.5000

Summary:
The size of the total moment is 0.0 μB per cell. For the formation energy from the elements, the calculation gives 0.67 eV/f.u. As for the space-group type: Fm-3m, No. 225. The value obtained for the volume is 17.9 Å³/atom.

---

Computed, not measured: a relaxed ZnHg2 crystal at the PBE level of DFT.

Cell lengths 4.4470, 4.4481, 4.4472 Å; angles 66.96, 66.96, 66.96 degrees
Positions (direct):
Hg 0.0117 0.7556 0.2833
Hg 0.5514 0.2953 0.8227
Zn 0.2815 0.0255 0.5529

Summary:
The size of the total moment is 0.0 μB per cell. For the formation energy from the elements, the calculation gives 0.26 eV/f.u. As for the space-group type: R-3m, No. 166. The value obtained for the volume is 23.8 Å³/atom.

---

Computed, not measured: a relaxed ZnHg crystal at the PBE level of DFT.

Cell lengths 3.2976, 3.2976, 4.3555 Å; angles 90.00, 90.00, 120.00 degrees
Positions (direct):
Zn 0.3333 0.6667 0.5000
Hg 0.0000 0.0000 0.0000

Summary:
The size of the total moment is 0.0 μB per cell. For the formation energy from the elements, the calculation gives 0.28 eV/f.u. As for the space-group type: P-6m2, No. 187. The value obtained for the volume is 20.5 Å³/atom.

---

Computed, not measured: a relaxed ZnHg crystal at the PBE level of DFT.

Cell lengths 7.6463, 7.6463, 7.6463 Å; angles 90.00, 90.00, 90.00 degrees
Positions (direct):
Zn 0.7500 0.5000 0.0000
Hg 0.0000 0.5000 0.2500
Zn 0.0000 0.7500 0.5000
Hg 0.0000 0.5000 0.7500
Zn 0.2500 0.5000 0.0000
Zn 0.5000 0.0000 0.7500
Hg 0.5000 0.7500 0.0000
Zn 0.0000 0.2500 0.5000
Zn 0.5000 0.0000 0.2500
Hg 0.2500 0.0000 0.5000
Hg 0.7500 0.0000 0.5000
Hg 0.5000 0.2500 0.0000

Summary:
The size of the total moment is 0.0 μB per cell. For the formation energy from the elements, the calculation gives 0.67 eV/f.u. As for the space-group type: Pm-3n, No. 223. The value obtained for the volume is 37.3 Å³/atom.

---

Computed, not measured: a relaxed Zn5Hg crystal at the PBE level of DFT.

Cell lengths 11.8208, 2.9351, 2.9351 Å; angles 90.00, 90.00, 90.00 degrees
Positions (direct):
Zn 0.0294 0.0000 0.0000
Zn 0.1806 0.5000 0.5000
Zn 0.6372 0.0000 0.0000
Zn 0.3333 0.0000 0.0000
Zn 0.4861 0.5000 0.5000
Hg 0.8333 0.5000 0.5000

Summary:
The size of the total moment is 0.0 μB per cell. For the formation energy from the elements, the calculation gives 0.54 eV/f.u. As for the space-group type: P4/mmm, No. 123. The value obtained for the volume is 17.0 Å³/atom.

---

Computed, not measured: a relaxed ZnHg2 crystal at the PBE level of DFT.

Cell lengths 6.9722, 6.9722, 5.6502 Å; angles 90.00, 90.00, 149.22 degrees
Positions (direct):
Hg 0.0373 0.9627 0.7500
Hg 0.7176 0.2824 0.7500
Hg 0.2824 0.7176 0.2500
Zn 0.6237 0.3763 0.2500
Hg 0.9627 0.0373 0.2500
Zn 0.3763 0.6237 0.7500

Summary:
The size of the total moment is 0.0 μB per cell. For the formation energy from the elements, the calculation gives 0.33 eV/f.u. As for the space-group type: Cmcm, No. 63. The value obtained for the volume is 23.4 Å³/atom.

---

Computed, not measured: a relaxed ZnHg2 crystal at the PBE level of DFT.

Cell lengths 9.1581, 9.1581, 9.1581 Å; angles 60.00, 60.00, 60.00 degrees
Positions (direct):
Zn 0.7136 0.8593 0.7136
Zn 0.7136 0.2136 0.3593
Hg 0.9446 0.8054 0.9446
Hg 0.9446 0.4446 0.3054
Hg 0.0554 0.1946 0.6946
Hg 0.3054 0.4446 0.3054
Zn 0.3593 0.2136 0.7136
Hg 0.5000 0.5000 0.5000
Zn 0.6407 0.7864 0.2864
Zn 0.2864 0.7864 0.2864
Hg 0.6946 0.1946 0.0554
Hg 0.0554 0.5554 0.6946
Zn 0.2864 0.1407 0.2864
Hg 0.3054 0.4446 0.9446
Hg 0.6946 0.5554 0.0554
Hg 0.0000 0.0000 0.5000
Hg 0.9446 0.8054 0.3054
Hg 0.0554 0.1946 0.0554
Hg 0.5000 0.0000 0.5000
Hg 0.3054 0.8054 0.9446
Hg 0.5000 0.0000 0.0000
Hg 0.6946 0.5554 0.6946
Zn 0.7136 0.2136 0.7136
Zn 0.2864 0.7864 0.6407

Summary:
The size of the total moment is 0.0 μB per cell. For the formation energy from the elements, the calculation gives 0.29 eV/f.u. As for the space-group type: Fd-3m, No. 227. The value obtained for the volume is 22.6 Å³/atom.

---

Computed, not measured: a relaxed ZnHg2 crystal at the PBE level of DFT.

Cell lengths 5.8443, 5.8443, 8.2651 Å; angles 57.83, 57.83, 35.57 degrees
Positions (direct):
Hg 0.8379 0.8379 0.5831
Hg 0.5010 0.5010 0.7932
Zn 0.8032 0.8032 0.0922
Zn 0.1968 0.1968 0.9078
Hg 0.1621 0.1621 0.4169
Hg 0.4990 0.4990 0.2068

Summary:
The size of the total moment is 0.0 μB per cell. For the formation energy from the elements, the calculation gives 0.28 eV/f.u. As for the space-group type: C2/m, No. 12. The value obtained for the volume is 22.7 Å³/atom.

---

Computed, not measured: a relaxed ZnHg crystal at the PBE level of DFT.

Cell lengths 3.2765, 3.2765, 8.9368 Å; angles 90.00, 90.00, 120.00 degrees
Positions (direct):
Zn 0.0000 0.0000 0.5212
Hg 0.3333 0.6667 0.2732
Hg 0.0000 0.0000 0.9768
Zn 0.3333 0.6667 0.7288

Summary:
The size of the total moment is 0.0 μB per cell. For the formation energy from the elements, the calculation gives 0.25 eV/f.u. As for the space-group type: P-3m1, No. 164. The value obtained for the volume is 20.8 Å³/atom.

---

Computed, not measured: a relaxed ZnHg crystal at the PBE level of DFT.

Cell lengths 4.0243, 4.1645, 5.1711 Å; angles 90.00, 105.37, 90.00 degrees
Positions (direct):
Zn 0.9343 0.7500 0.8341
Hg 0.6204 0.7500 0.2896
Hg 0.3796 0.2500 0.7104
Zn 0.0657 0.2500 0.1659

Summary:
The size of the total moment is 0.0 μB per cell. For the formation energy from the elements, the calculation gives 0.20 eV/f.u. As for the space-group type: P2_1/m, No. 11. The value obtained for the volume is 20.9 Å³/atom.

---

Computed, not measured: a relaxed Zn3Hg crystal at the PBE level of DFT.

Cell lengths 3.6813, 4.7111, 4.6245 Å; angles 100.46, 90.00, 113.00 degrees
Positions (direct):
Hg 0.0000 0.0000 0.0000
Zn 0.5000 0.0000 0.5000
Zn 0.7564 0.5127 0.2842
Zn 0.2436 0.4873 0.7158

Summary:
The size of the total moment is 0.0 μB per cell. For the formation energy from the elements, the calculation gives 0.32 eV/f.u. As for the space-group type: C2/m, No. 12. The value obtained for the volume is 18.1 Å³/atom.

---

Computed, not measured: a relaxed Zn4Hg3 crystal at the PBE level of DFT.

Cell lengths 5.9696, 5.9696, 4.8711 Å; angles 90.00, 90.00, 120.00 degrees
Positions (direct):
Zn 0.6667 0.3333 0.5000
Zn 0.3333 0.6667 0.5000
Hg 0.5000 0.5000 0.0000
Hg 0.5000 0.0000 0.0000
Hg 0.0000 0.5000 0.0000
Zn 0.0000 0.0000 0.2554
Zn 0.0000 0.0000 0.7446

Summary:
The size of the total moment is 0.0 μB per cell. For the formation energy from the elements, the calculation gives 1.73 eV/f.u. Its offset from the most stable computed form is 142 meV/atom. As for the space-group type: P6/mmm, No. 191. The value obtained for the volume is 21.5 Å³/atom.

---

Computed, not measured: a relaxed Zn3Hg crystal at the PBE level of DFT.

Cell lengths 4.5662, 4.5662, 3.6371 Å; angles 90.00, 90.00, 108.05 degrees
Positions (direct):
Zn 0.5000 0.5000 0.0000
Zn 0.0000 0.5000 0.5000
Hg 0.0000 0.0000 0.0000
Zn 0.5000 0.0000 0.5000

Summary:
The size of the total moment is 0.0 μB per cell. For the formation energy from the elements, the calculation gives 0.36 eV/f.u. As for the space-group type: Cmmm, No. 65. The value obtained for the volume is 18.0 Å³/atom.

---

Computed, not measured: a relaxed Zn3Hg crystal at the PBE level of DFT.

Cell lengths 3.1365, 8.6684, 3.1365 Å; angles 100.42, 60.00, 100.42 degrees
Positions (direct):
Zn 0.2437 0.7310 0.2437
Zn 0.7563 0.2690 0.7563
Zn 0.5000 0.5000 0.5000
Hg 0.0000 0.0000 0.0000

Summary:
The size of the total moment is 0.0 μB per cell. For the formation energy from the elements, the calculation gives 0.44 eV/f.u. As for the space-group type: R-3m, No. 166. The value obtained for the volume is 18.1 Å³/atom.

---

Computed, not measured: a relaxed ZnHg crystal at the PBE level of DFT.

Cell lengths 3.3586, 3.3279, 4.6279 Å; angles 110.64, 91.90, 117.90 degrees
Positions (direct):
Hg 0.0000 0.5000 0.5000
Zn 0.5000 0.5000 0.0000

Summary:
The size of the total moment is 0.0 μB per cell. For the formation energy from the elements, the calculation gives 0.22 eV/f.u. As for the space-group type: P-1, No. 2. The value obtained for the volume is 20.8 Å³/atom.

---

Computed, not measured: a relaxed Zn4Hg5 crystal at the PBE level of DFT.

Cell lengths 8.3561, 8.3561, 6.4256 Å; angles 90.00, 90.00, 60.00 degrees
Positions (direct):
Hg 0.6667 0.6667 0.0000
Zn 0.0000 0.6183 0.2500
Hg 0.6667 0.6667 0.5000
Zn 0.0000 0.0000 0.0000
Hg 0.7194 0.0000 0.2500
Hg 0.0000 0.7194 0.7500
Hg 0.3333 0.3333 0.0000
Hg 0.2806 0.0000 0.7500
Hg 0.7194 0.2806 0.7500
Hg 0.0000 0.2806 0.2500
Zn 0.0000 0.0000 0.5000
Zn 0.6183 0.0000 0.7500
Zn 0.6183 0.3817 0.2500
Hg 0.3333 0.3333 0.5000
Zn 0.3817 0.0000 0.2500
Hg 0.2806 0.7194 0.2500
Zn 0.0000 0.3817 0.7500
Zn 0.3817 0.6183 0.7500

Summary:
The size of the total moment is 0.0 μB per cell. For the formation energy from the elements, the calculation gives 1.32 eV/f.u. Its offset from the most stable computed form is 6 meV/atom. As for the space-group type: P6_3/mcm, No. 193. The value obtained for the volume is 21.6 Å³/atom.

---

Computed, not measured: a relaxed Zn4Hg5 crystal at the PBE level of DFT.

Cell lengths 6.9643, 6.9643, 6.9643 Å; angles 95.48, 95.48, 143.99 degrees
Positions (direct):
Hg 0.3289 0.3289 0.6579
Hg 0.0000 0.0000 0.0000
Zn 0.3560 0.0000 0.3560
Hg 0.3289 0.6711 0.0000
Zn 0.6440 0.0000 0.6440
Zn 0.0000 0.3560 0.3560
Zn 0.0000 0.6440 0.6440
Hg 0.6711 0.6711 0.3421
Hg 0.6711 0.3289 0.0000

Summary:
The size of the total moment is 0.0 μB per cell. For the formation energy from the elements, the calculation gives 1.27 eV/f.u. Its offset from the most stable computed form is 0 meV/atom. As for the space-group type: I4/mmm, No. 139. The value obtained for the volume is 21.0 Å³/atom.

---

Computed, not measured: a relaxed ZnHg crystal at the PBE level of DFT.

Cell lengths 7.9597, 7.9597, 4.7315 Å; angles 90.00, 90.00, 120.00 degrees
Positions (direct):
Zn 0.4423 0.8846 0.2500
Zn 0.4423 0.5577 0.2500
Hg 0.3429 0.1714 0.2500
Hg 0.1714 0.3429 0.7500
Zn 0.1154 0.5577 0.2500
Zn 0.5577 0.4423 0.7500
Zn 0.8846 0.4423 0.7500
Zn 0.5577 0.1154 0.7500
Hg 0.1714 0.8286 0.7500
Hg 0.6571 0.8286 0.7500
Hg 0.8286 0.1714 0.2500
Hg 0.8286 0.6571 0.2500

Summary:
The size of the total moment is 0.0 μB per cell. For the formation energy from the elements, the calculation gives 0.21 eV/f.u. As for the space-group type: P6_3/mmc, No. 194. The value obtained for the volume is 21.6 Å³/atom.

---

Computed, not measured: a relaxed ZnHg crystal at the PBE level of DFT.

Cell lengths 4.9683, 4.9683, 4.9683 Å; angles 60.00, 60.00, 60.00 degrees
Positions (direct):
Zn 0.5000 0.5000 0.5000
Hg 0.2500 0.2500 0.2500
Hg 0.0000 0.0000 0.0000
Zn 0.7500 0.7500 0.7500

Summary:
The size of the total moment is 0.0 μB per cell. For the formation energy from the elements, the calculation gives 0.41 eV/f.u. As for the space-group type: Fd-3m, No. 227. The value obtained for the volume is 21.7 Å³/atom.